Entry 1:
Ho4Cd2AgHg | PBE | relaxed

Results
- magnetization (μB per formula unit) = 0.0
- ΔE_f (eV per formula unit) = -2.828

Unit cell a=9.052 b=9.052 c=9.052 alpha=33.57 beta=33.57 gamma=33.57
Atoms (fractional coordinates):
Ho (0.124, 0.124, 0.124)
Ho (0.374, 0.374, 0.374)
Ho (0.626, 0.626, 0.626)
Ho (0.876, 0.876, 0.876)
Cd (0.250, 0.250, 0.250)
Cd (0.750, 0.750, 0.750)
Ag (0.000, 0.000, 0.000)
Hg (0.500, 0.500, 0.500)


Entry 2:
La5Pm6Tm | PBE | relaxed

Results
- magnetization (μB per formula unit) = 0.0
- ΔE_f (eV per formula unit) = 0.193

Unit cell a=6.368 b=6.368 c=12.185 alpha=95.04 beta=95.04 gamma=120.00
Atoms (fractional coordinates):
La (0.000, 0.000, 0.000)
La (0.167, 0.833, 0.500)
La (0.334, 0.666, 0.000)
La (0.666, 0.334, 0.000)
La (0.833, 0.167, 0.500)
Pm (0.086, 0.418, 0.252)
Pm (0.251, 0.251, 0.748)
Pm (0.418, 0.086, 0.252)
Pm (0.582, 0.914, 0.748)
Pm (0.749, 0.749, 0.252)
Pm (0.914, 0.582, 0.748)
Tm (0.500, 0.500, 0.500)


Entry 3:
CoSb3Ru | PBE | relaxed

Results
- magnetization (μB per formula unit) = 0.0
- offset from the most stable computed form (eV/f.u.) = 0.00
- ΔE_f (raw) (eV per atom) = 0.78

Unit cell a=4.814 b=4.814 c=4.814 alpha=90.00 beta=90.00 gamma=90.00
Atoms (fractional coordinates):
Co (0.000, 0.000, 0.000)
Sb (0.000, 0.000, 0.500)
Sb (0.000, 0.500, 0.000)
Sb (0.500, 0.000, 0.000)
Ru (0.500, 0.500, 0.500)


no.,calculated volume (Å³ per cell),raw total energy (eV per atom)
1,202,-3.27
2,421,-4.78
3,112,-4.97